A relaxed Ac2ZnAgN crystal. Source: Alexandria via LeMat-Bulk, functional PBE-GGA.

The space group is P2_1/m (No. 11) and the conventional cell measures 7.5327, 4.1445 and 8.5365 Å, with angles of 90.00, 108.23 and 90.00 degrees. Symmetry generates all atoms from Ac at (0.1963, 0.2500, 0.3941), Ac at (0.1959, 0.2500, 0.9482), Zn at (0.4414, 0.7500, 0.2397), Ag at (0.3333, 0.7500, 0.7087) and N at (0.1522, 0.7500, 0.1744).

Its final energy is -4.641 eV per atom. Its energy relative to the elements, uncorrected is -0.507 eV/atom.


A relaxed SrLaW2 crystal. Source: Alexandria via LeMat-Bulk, functional PBE-GGA.

The space group is I-42d (No. 122) and the conventional cell measures 8.4071, 8.4071 and 5.6336 Å, with angles of 90.00, 90.00 and 90.00 degrees. Symmetry generates all atoms from Sr at (0.0000, 0.0000, 0.0000), La at (0.0000, 0.0000, 0.5000) and W at (0.2378, 0.2500, 0.6250).

Its final energy is -6.410 eV per atom. The calculation puts the energy relative to the lowest polymorph listed for this composition at 1182 meV/atom. The formation energy from the elements is 39.648 kcal/mol of atoms.